Compound: CaMnGa2Os
Source: Alexandria via LeMat-Bulk
Functional: PBE-GGA
Structure: relaxed

Output
The formation energy from the elements comes out at 2306 meV/atom. As for the symmetry: P4/mmm (123). The total energy comes out at -3.3844 eV per atom.

abc: 5.0797 4.7908 5.0797
angles: 90.00 90.00 90.00
Each line ends with the local moment (μB).
Fractional coordinates of all 5 atoms:
1 Ga 0.5000 0.0000 0.0000  -0.02
2 Ga 0.0000 0.0000 0.5000  0.00
3 Ca 0.0000 0.0000 0.0000  -0.03
4 Os 0.0000 0.5000 0.0000  0.60
5 Mn 0.5000 0.5000 0.5000  -0.18